1.
Here is an optimized crystal structure of RbCrInPb2 from Alexandria. Energies are from GGA-PBE.

Geometry as CIF:
```
data_RbCrInPb2
_chemical_formula_sum 'Rb1 Cr1 In1 Pb2'
_cell_length_a 5.095
_cell_length_b 5.095
_cell_length_c 5.127
_cell_angle_alpha 90.00
_cell_angle_beta 90.00
_cell_angle_gamma 90.00
_symmetry_space_group_name_H-M 'P 1'
_symmetry_Int_Tables_number 1
_symmetry_space_group_name_Hall 'P 1'
loop_
_atom_site_label
_atom_site_type_symbol
_atom_site_fract_x
_atom_site_fract_y
_atom_site_fract_z
Rb1 Rb 0.000 0.000 0.000
Cr1 Cr 0.500 0.500 0.500
In1 In 0.500 0.500 0.000
Pb1 Pb 0.000 0.500 0.500
Pb2 Pb 0.500 0.000 0.500
```

Calculated density ... 8318 kg/m3
Size of the total moment ... 0.00 μB/atom
E ... -19.5 eV/cell
ΔE_f ... 1.27 eV/f.u.
Fermi-level density of states ... 0.244 states/eV/atom

=====

2.
Here is an optimized crystal structure of MgScBr2 from Alexandria. Energies are from GGA-PBE.

Geometry as CIF:
```
data_MgScBr2
_chemical_formula_sum 'Mg2 Sc2 Br4'
_cell_length_a 6.690
_cell_length_b 8.008
_cell_length_c 3.488
_cell_angle_alpha 90.00
_cell_angle_beta 90.00
_cell_angle_gamma 90.00
_symmetry_space_group_name_H-M 'P 1'
_symmetry_Int_Tables_number 1
_symmetry_space_group_name_Hall 'P 1'
loop_
_atom_site_label
_atom_site_type_symbol
_atom_site_fract_x
_atom_site_fract_y
_atom_site_fract_z
Mg1 Mg 0.000 0.000 0.000
Mg2 Mg 0.500 0.500 0.000
Sc1 Sc 0.000 0.500 0.000
Sc2 Sc 0.500 0.000 0.000
Br1 Br 0.250 0.250 0.500
Br2 Br 0.250 0.750 0.500
Br3 Br 0.750 0.250 0.500
Br4 Br 0.750 0.750 0.500
```

Calculated density ... 4071 kg/m3
Energy relative to the elements, uncorrected ... -177 kJ/mol of formula units
Size of the total moment ... 0.00 μB/atom
E ... -26.2 eV/cell
Energy relative to the lowest polymorph listed for this composition ... 525 meV/atom
Fermi-level density of states ... 0.608 states/eV/atom

=====

3.
Here is an optimized crystal structure of Pu2Zn5Au3 from Alexandria. Energies are from GGA-PBE.

Geometry as CIF:
```
data_Pu2Zn5Au3
_chemical_formula_sum 'Pu4 Zn10 Au6'
_cell_length_a 8.717
_cell_length_b 8.717
_cell_length_c 8.717
_cell_angle_alpha 97.84
_cell_angle_beta 95.58
_cell_angle_gamma 140.03
_symmetry_space_group_name_H-M 'P 1'
_symmetry_Int_Tables_number 1
_symmetry_space_group_name_Hall 'P 1'
loop_
_atom_site_label
_atom_site_type_symbol
_atom_site_fract_x
_atom_site_fract_y
_atom_site_fract_z
Pu1 Pu 0.125 0.239 0.364
Pu2 Pu 0.375 0.739 0.114
Pu3 Pu 0.625 0.261 0.886
Pu4 Pu 0.875 0.761 0.636
Zn1 Zn 0.013 0.750 0.263
Zn2 Zn 0.138 0.873 0.011
Zn3 Zn 0.250 0.750 0.500
Zn4 Zn 0.362 0.373 0.736
Zn5 Zn 0.487 0.750 0.737
Zn6 Zn 0.513 0.250 0.263
Zn7 Zn 0.638 0.627 0.264
Zn8 Zn 0.750 0.250 0.500
Zn9 Zn 0.862 0.127 0.989
Zn10 Zn 0.987 0.250 0.737
Au1 Au 0.119 0.651 0.769
Au2 Au 0.250 0.250 0.000
Au3 Au 0.381 0.151 0.532
Au4 Au 0.619 0.849 0.468
Au5 Au 0.750 0.750 0.000
Au6 Au 0.881 0.349 0.231
```

Calculated density ... 11682 kg/m3
Size of the total moment ... 1.13 μB/atom
E ... -95.1 eV/cell
Energy relative to the lowest polymorph listed for this composition ... 34 meV/atom
ΔE_f ... -2.68 eV/f.u.
Fermi-level density of states ... 2.673 states/eV/atom

=====

4.
Here is an optimized crystal structure of Ac4Si2Cl3 from Alexandria. Energies are from GGA-PBE.

Geometry as CIF:
```
data_Ac4Si2Cl3
_chemical_formula_sum 'Ac4 Si2 Cl3'
_cell_length_a 4.560
_cell_length_b 4.560
_cell_length_c 17.386
_cell_angle_alpha 90.25
_cell_angle_beta 90.25
_cell_angle_gamma 60.00
_symmetry_space_group_name_H-M 'P 1'
_symmetry_Int_Tables_number 1
_symmetry_space_group_name_Hall 'P 1'
loop_
_atom_site_label
_atom_site_type_symbol
_atom_site_fract_x
_atom_site_fract_y
_atom_site_fract_z
Ac1 Ac 0.003 0.003 0.307
Ac2 Ac 0.335 0.335 0.110
Ac3 Ac 0.665 0.665 0.890
Ac4 Ac 0.997 0.997 0.693
Si1 Si 0.331 0.331 0.795
Si2 Si 0.669 0.669 0.205
Cl1 Cl 0.000 0.000 0.000
Cl2 Cl 0.338 0.338 0.399
Cl3 Cl 0.662 0.662 0.601
```

Calculated density ... 5678 kg/m3
Energy relative to the elements, uncorrected ... -1207 kJ/mol of formula units
Size of the total moment ... 0.00 μB/atom
E ... -45.3 eV/cell
Fermi-level density of states ... 0.347 states/eV/atom

=====

5.
Here is an optimized crystal structure of PtCl5 from Alexandria. Energies are from GGA-PBE.

Geometry as CIF:
```
data_PtCl5
_chemical_formula_sum 'Pt1 Cl5'
_cell_length_a 7.765
_cell_length_b 7.765
_cell_length_c 3.211
_cell_angle_alpha 90.00
_cell_angle_beta 90.00
_cell_angle_gamma 120.00
_symmetry_space_group_name_H-M 'P 1'
_symmetry_Int_Tables_number 1
_symmetry_space_group_name_Hall 'P 1'
loop_
_atom_site_label
_atom_site_type_symbol
_atom_site_fract_x
_atom_site_fract_y
_atom_site_fract_z
Pt1 Pt 0.000 0.000 0.000
Cl1 Cl 0.000 0.769 0.500
Cl2 Cl 0.231 0.231 0.500
Cl3 Cl 0.333 0.667 0.000
Cl4 Cl 0.667 0.333 0.000
Cl5 Cl 0.769 0.000 0.500
```

Calculated density ... 3687 kg/m3
Energy relative to the elements, uncorrected ... 162 kJ/mol of formula units
Size of the total moment ... 0.04 μB/atom
E ... -13.6 eV/cell
Energy relative to the lowest polymorph listed for this composition ... 356 meV/atom
Fermi-level density of states ... 0.468 states/eV/atom

=====

6.
Here is an optimized crystal structure of BaCrSb2 from Alexandria. Energies are from GGA-PBE.

Geometry as CIF:
```
data_BaCrSb2
_chemical_formula_sum 'Ba1 Cr1 Sb2'
_cell_length_a 5.008
_cell_length_b 5.008
_cell_length_c 4.707
_cell_angle_alpha 90.00
_cell_angle_beta 90.00
_cell_angle_gamma 90.00
_symmetry_space_group_name_H-M 'P 1'
_symmetry_Int_Tables_number 1
_symmetry_space_group_name_Hall 'P 1'
loop_
_atom_site_label
_atom_site_type_symbol
_atom_site_fract_x
_atom_site_fract_y
_atom_site_fract_z
Ba1 Ba 0.000 0.000 0.000
Cr1 Cr 0.500 0.500 0.000
Sb1 Sb 0.000 0.500 0.500
Sb2 Sb 0.500 0.000 0.500
```

Calculated density ... 6089 kg/m3
Energy relative to the elements, uncorrected ... -6 kJ/mol of formula units
Size of the total moment ... 1.16 μB/atom
E ... -19.9 eV/cell
Fermi-level density of states ... 0.592 states/eV/atom

=====

7.
Here is an optimized crystal structure of TcMo2P from Alexandria. Energies are from GGA-PBE.

Geometry as CIF:
```
data_TcMo2P
_chemical_formula_sum 'Tc1 Mo2 P1'
_cell_length_a 2.922
_cell_length_b 2.922
_cell_length_c 6.735
_cell_angle_alpha 90.00
_cell_angle_beta 90.00
_cell_angle_gamma 90.00
_symmetry_space_group_name_H-M 'P 1'
_symmetry_Int_Tables_number 1
_symmetry_space_group_name_Hall 'P 1'
loop_
_atom_site_label
_atom_site_type_symbol
_atom_site_fract_x
_atom_site_fract_y
_atom_site_fract_z
Tc1 Tc 0.000 0.000 0.000
Mo1 Mo 0.500 0.500 0.273
Mo2 Mo 0.500 0.500 0.727
P1 P 0.000 0.000 0.500
```

Calculated density ... 9262 kg/m3
Size of the total moment ... 0.00 μB/atom
E ... -37.9 eV/cell
ΔE_f ... -0.51 eV/f.u.
Fermi-level density of states ... 0.996 states/eV/atom

=====

8.
Here is an optimized crystal structure of HoInSn from Alexandria. Energies are from GGA-PBE.

Geometry as CIF:
```
data_HoInSn
_chemical_formula_sum 'Ho1 In1 Sn1'
_cell_length_a 5.180
_cell_length_b 5.180
_cell_length_c 3.350
_cell_angle_alpha 90.00
_cell_angle_beta 90.00
_cell_angle_gamma 120.00
_symmetry_space_group_name_H-M 'P 1'
_symmetry_Int_Tables_number 1
_symmetry_space_group_name_Hall 'P 1'
loop_
_atom_site_label
_atom_site_type_symbol
_atom_site_fract_x
_atom_site_fract_y
_atom_site_fract_z
Ho1 Ho 0.000 0.000 0.000
In1 In 0.333 0.667 0.503
Sn1 Sn 0.667 0.333 0.497
```

Calculated density ... 8500 kg/m3
Size of the total moment ... 0.00 μB/atom
E ... -12.4 eV/cell
Energy relative to the lowest polymorph listed for this composition ... 0 meV/atom
ΔE_f ... -1.05 eV/f.u.
Fermi-level density of states ... 0.700 states/eV/atom

=====

9.
Here is an optimized crystal structure of MgGe2AsW from Alexandria. Energies are from GGA-PBE.

Geometry as CIF:
```
data_MgGe2AsW
_chemical_formula_sum 'Mg1 Ge2 As1 W1'
_cell_length_a 5.056
_cell_length_b 5.056
_cell_length_c 4.740
_cell_angle_alpha 90.00
_cell_angle_beta 90.00
_cell_angle_gamma 90.00
_symmetry_space_group_name_H-M 'P 1'
_symmetry_Int_Tables_number 1
_symmetry_space_group_name_Hall 'P 1'
loop_
_atom_site_label
_atom_site_type_symbol
_atom_site_fract_x
_atom_site_fract_y
_atom_site_fract_z
Mg1 Mg 0.000 0.000 0.000
Ge1 Ge 0.000 0.500 0.500
Ge2 Ge 0.500 0.000 0.500
As1 As 0.500 0.500 0.500
W1 W 0.500 0.500 0.000
```

Calculated density ... 5870 kg/m3
Size of the total moment ... 0.30 μB/atom
E ... -23.1 eV/cell
ΔE_f ... 5.38 eV/f.u.
Fermi-level density of states ... 0.805 states/eV/atom

=====

10.
Here is an optimized crystal structure of KP2SF from Alexandria. Energies are from GGA-PBE.

Geometry as CIF:
```
data_KP2SF
_chemical_formula_sum 'K1 P2 S1 F1'
_cell_length_a 6.761
_cell_length_b 6.761
_cell_length_c 6.050
_cell_angle_alpha 90.00
_cell_angle_beta 90.00
_cell_angle_gamma 90.00
_symmetry_space_group_name_H-M 'P 1'
_symmetry_Int_Tables_number 1
_symmetry_space_group_name_Hall 'P 1'
loop_
_atom_site_label
_atom_site_type_symbol
_atom_site_fract_x
_atom_site_fract_y
_atom_site_fract_z
K1 K 0.000 0.000 0.000
P1 P 0.000 0.500 0.000
P2 P 0.500 0.000 0.000
S1 S 0.000 0.000 0.500
F1 F 0.500 0.500 0.500
```

Calculated density ... 913 kg/m3
Energy relative to the elements, uncorrected ... 672 kJ/mol of formula units
Size of the total moment ... 0.80 μB/atom
E ... -10.9 eV/cell
Energy relative to the lowest polymorph listed for this composition ... 1057 meV/atom
Fermi-level density of states ... 2.593 states/eV/atom

=====

11.
Here is an optimized crystal structure of LiLuMg2 from Alexandria. Energies are from GGA-PBE.

Geometry as CIF:
```
data_LiLuMg2
_chemical_formula_sum 'Li4 Lu4 Mg8'
_cell_length_a 7.254
_cell_length_b 7.254
_cell_length_c 7.254
_cell_angle_alpha 90.00
_cell_angle_beta 90.00
_cell_angle_gamma 90.00
_symmetry_space_group_name_H-M 'P 1'
_symmetry_Int_Tables_number 1
_symmetry_space_group_name_Hall 'P 1'
loop_
_atom_site_label
_atom_site_type_symbol
_atom_site_fract_x
_atom_site_fract_y
_atom_site_fract_z
Li1 Li 0.000 0.000 0.000
Li2 Li 0.000 0.500 0.500
Li3 Li 0.500 0.000 0.500
Li4 Li 0.500 0.500 0.000
Lu1 Lu 0.000 0.000 0.500
Lu2 Lu 0.000 0.500 0.000
Lu3 Lu 0.500 0.000 0.000
Lu4 Lu 0.500 0.500 0.500
Mg1 Mg 0.250 0.250 0.250
Mg2 Mg 0.250 0.250 0.750
Mg3 Mg 0.250 0.750 0.250
Mg4 Mg 0.250 0.750 0.750
Mg5 Mg 0.750 0.250 0.250
Mg6 Mg 0.750 0.250 0.750
Mg7 Mg 0.750 0.750 0.250
Mg8 Mg 0.750 0.750 0.750
```

Calculated density ... 4012 kg/m3
Size of the total moment ... 0.00 μB/atom
E ... -37.4 eV/cell
Energy relative to the lowest polymorph listed for this composition ... 109 meV/atom
ΔE_f ... 0.28 eV/f.u.
Fermi-level density of states ... 1.234 states/eV/atom

=====

12.
Here is an optimized crystal structure of InP2SN from Alexandria. Energies are from GGA-PBE.

Geometry as CIF:
```
data_InP2SN
_chemical_formula_sum 'In1 P2 S1 N1'
_cell_length_a 5.147
_cell_length_b 5.147
_cell_length_c 5.120
_cell_angle_alpha 90.00
_cell_angle_beta 90.00
_cell_angle_gamma 90.00
_symmetry_space_group_name_H-M 'P 1'
_symmetry_Int_Tables_number 1
_symmetry_space_group_name_Hall 'P 1'
loop_
_atom_site_label
_atom_site_type_symbol
_atom_site_fract_x
_atom_site_fract_y
_atom_site_fract_z
In1 In 0.000 0.000 0.000
P1 P 0.000 0.500 0.000
P2 P 0.500 0.000 0.000
S1 S 0.000 0.000 0.500
N1 N 0.500 0.500 0.500
```

Calculated density ... 2728 kg/m3
Energy relative to the elements, uncorrected ... 997 kJ/mol of formula units
Size of the total moment ... 0.79 μB/atom
E ... -15.7 eV/cell
Energy relative to the lowest polymorph listed for this composition ... 1139 meV/atom
Fermi-level density of states ... 0.884 states/eV/atom

=====

13.
Here is an optimized crystal structure of ZnCdHg5 from Alexandria. Energies are from GGA-PBE.

Geometry as CIF:
```
data_ZnCdHg5
_chemical_formula_sum 'Zn2 Cd2 Hg10'
_cell_length_a 8.550
_cell_length_b 8.550
_cell_length_c 5.168
_cell_angle_alpha 101.67
_cell_angle_beta 101.67
_cell_angle_gamma 72.90
_symmetry_space_group_name_H-M 'P 1'
_symmetry_Int_Tables_number 1
_symmetry_space_group_name_Hall 'P 1'
loop_
_atom_site_label
_atom_site_type_symbol
_atom_site_fract_x
_atom_site_fract_y
_atom_site_fract_z
Zn1 Zn 0.000 0.000 0.000
Zn2 Zn 0.000 0.000 0.500
Cd1 Cd 0.414 0.586 0.750
Cd2 Cd 0.586 0.414 0.250
Hg1 Hg 0.004 0.314 0.385
Hg2 Hg 0.200 0.402 0.997
Hg3 Hg 0.250 0.750 0.250
Hg4 Hg 0.314 0.004 0.885
Hg5 Hg 0.402 0.200 0.497
Hg6 Hg 0.598 0.800 0.503
Hg7 Hg 0.686 0.996 0.115
Hg8 Hg 0.750 0.250 0.750
Hg9 Hg 0.800 0.598 0.003
Hg10 Hg 0.996 0.686 0.615
```

Calculated density ... 11221 kg/m3
Size of the total moment ... 0.00 μB/atom
E ... -6.8 eV/cell
ΔE_f ... 0.29 eV/f.u.
Fermi-level density of states ... 0.164 states/eV/atom